Record 1
Entry from Alexandria: an optimized crystal structure of MgIrPbO6 (PBE).

## Properties
Its space group is P-31c, No. 163. As for the raw total energy: -5.9660 eV/atom. As for the uncorrected formation energy: -1.09 eV/atom.

Unit cell a=5.4574 b=5.4574 c=8.6513 alpha=90.00 beta=90.00 gamma=120.00
Sites, in units of the cell vectors:
Mg 0.0000 0.0000 0.0000
Mg 0.0000 0.0000 0.5000
Ir 0.3333 0.6667 0.2500
Ir 0.6667 0.3333 0.7500
Pb 0.3333 0.6667 0.7500
Pb 0.6667 0.3333 0.2500
O 0.0446 0.3657 0.1255
O 0.0446 0.6789 0.3745
O 0.3211 0.3657 0.3745
O 0.3211 0.9554 0.1255
O 0.3657 0.0446 0.6255
O 0.3657 0.3211 0.8745
O 0.6343 0.6789 0.1255
O 0.6343 0.9554 0.3745
O 0.6789 0.0446 0.8745
O 0.6789 0.6343 0.6255
O 0.9554 0.3211 0.6255
O 0.9554 0.6343 0.8745

---

Record 2
Entry from Alexandria: an optimized crystal structure of MgIrPbO2 (PBE).

## Properties
Its space group is P4/mmm, No. 123. As for the raw total energy: -4.9672 eV/atom. As for the uncorrected formation energy: -0.15 eV/atom.

Unit cell a=3.9567 b=3.9567 c=5.4748 alpha=90.00 beta=90.00 gamma=90.00
Sites, in units of the cell vectors:
Mg 0.0000 0.0000 0.0000
Ir 0.0000 0.0000 0.5000
Pb 0.5000 0.5000 0.0000
O 0.0000 0.5000 0.5000
O 0.5000 0.0000 0.5000

---

Record 3
Entry from Alexandria: an optimized crystal structure of MgIrPb2O8 (PBE).

## Properties
Its space group is P2/m, No. 10. As for the raw total energy: -5.8103 eV/atom. As for the uncorrected formation energy: -1.02 eV/atom.

Unit cell a=4.8505 b=6.6803 c=4.8593 alpha=90.00 beta=90.62 gamma=90.00
Sites, in units of the cell vectors:
Mg 0.0000 0.0000 0.0000
Ir 0.0000 0.5000 0.0000
Pb 0.5000 0.2435 0.5000
Pb 0.5000 0.7565 0.5000
O 0.1810 0.2731 0.8218
O 0.1810 0.7269 0.8218
O 0.2804 0.5000 0.2835
O 0.2924 0.0000 0.2951
O 0.7076 0.0000 0.7049
O 0.7196 0.5000 0.7165
O 0.8190 0.2731 0.1782
O 0.8190 0.7269 0.1782

---

Record 4
Entry from Alexandria: an optimized crystal structure of PmMgIrO6 (PBE).

## Properties
Its space group is P-31c, No. 163. As for the raw total energy: -6.7974 eV/atom. As for the uncorrected formation energy: -1.80 eV/atom.

Unit cell a=5.2441 b=5.2441 c=10.0254 alpha=90.00 beta=90.00 gamma=120.00
Sites, in units of the cell vectors:
Pm 0.0000 0.0000 0.0000
Pm 0.0000 0.0000 0.5000
Mg 0.3333 0.6667 0.2500
Mg 0.6667 0.3333 0.7500
Ir 0.3333 0.6667 0.7500
Ir 0.6667 0.3333 0.2500
O 0.0232 0.3713 0.6424
O 0.0232 0.6519 0.8576
O 0.3481 0.3713 0.8576
O 0.3481 0.9768 0.6424
O 0.3713 0.0232 0.1424
O 0.3713 0.3481 0.3576
O 0.6287 0.6519 0.6424
O 0.6287 0.9768 0.8576
O 0.6519 0.0232 0.3576
O 0.6519 0.6287 0.1424
O 0.9768 0.3481 0.1424
O 0.9768 0.6287 0.3576

---

Record 5
Entry from Alexandria: an optimized crystal structure of PmMg2IrO8 (PBE).

## Properties
Its space group is P2/m, No. 10. As for the raw total energy: -6.3436 eV/atom. As for the uncorrected formation energy: -1.64 eV/atom.

Unit cell a=4.4769 b=6.7487 c=4.7375 alpha=90.00 beta=90.11 gamma=90.00
Sites, in units of the cell vectors:
Pm 0.0000 0.0000 0.0000
Mg 0.5000 0.2648 0.5000
Mg 0.5000 0.7352 0.5000
Ir 0.0000 0.5000 0.0000
O 0.2386 0.5000 0.3286
O 0.2463 0.2935 0.8554
O 0.2463 0.7065 0.8554
O 0.2548 0.0000 0.4530
O 0.7452 0.0000 0.5470
O 0.7537 0.2935 0.1446
O 0.7537 0.7065 0.1446
O 0.7614 0.5000 0.6714

---

Record 6
Entry from Alexandria: an optimized crystal structure of PrMg2IrO8 (PBE).

## Properties
Its space group is P2/m, No. 10. As for the raw total energy: -6.3331 eV/atom. As for the uncorrected formation energy: -1.63 eV/atom.

Unit cell a=4.4846 b=6.8213 c=4.7483 alpha=90.00 beta=90.09 gamma=90.00
Sites, in units of the cell vectors:
Pr 0.0000 0.0000 0.0000
Mg 0.5000 0.2666 0.5000
Mg 0.5000 0.7334 0.5000
Ir 0.0000 0.5000 0.0000
O 0.2393 0.5000 0.6728
O 0.2463 0.2966 0.1463
O 0.2463 0.7034 0.1463
O 0.2600 0.0000 0.5416
O 0.7400 0.0000 0.4584
O 0.7537 0.2966 0.8537
O 0.7537 0.7034 0.8537
O 0.7607 0.5000 0.3272